MnHgF2 | SCAN | single point on PBEsol structure

As for the offset from the most stable computed form: 0 meV per atom. The calculation puts the raw formation energy at -1.539 eV/atom.

Cell and atoms, written as POSCAR:
```
MnHgF2
1.0
-0.6177 -2.4547 2.0928
-1.0739 -2.8907 -1.1304
7.4087 -4.4431 -0.4477
Mn Hg F
1 1 2
direct
0.5000 0.5000 0.5000 Mn
0.0000 0.0000 0.0000 Hg
0.8711 0.8711 0.3868 F
0.1289 0.1289 0.6132 F
```